Ac3SeO7 | PBE-GGA | optimized geometry

## Properties
**Spin magnetization**: 0.10 Bohr magnetons per cell
**Formation energy (no corrections)**: -27.516 eV/f.u.
**Volume**: 17.199 A^3/atom

Lattice parameters (Å, degrees): 6.8765 8.2952 7.0071 90.00 108.80 90.00
With the nearest neighbours (Å) after each atom.
Space group P2_1 (No. 4)
Symmetry-distinct sites (fractional):
Ac (0.9998, 0.0000, 0.0304)  5 O 2.43-2.67
Ac (0.4767, 0.0006, 0.5029)  5 O 2.42-2.64
Ac (0.4866, 0.2453, 0.0074)  6 O 2.51-2.75
Se (0.0054, 0.7751, 0.5090)  3 O 1.75-1.83
O (0.0493, 0.9728, 0.4481)  1 Se 1.75
O (0.0561, 0.7793, 0.7755)  1 Se 1.79
O (0.0976, 0.2316, 0.8583)  1 Se 2.47, 3 Ac 2.47-2.54
O (0.2729, 0.2745, 0.5439)  1 Se 1.83
O (0.3327, 0.7321, 0.5819)  1 Se 2.17
O (0.3725, 0.5112, 0.1322)  4 Ac 2.43-2.59
O (0.3716, 0.9768, 0.1395)  4 Ac 2.42-2.63